{"formula": "La2MoO6", "functional": "PBE with a Hubbard U", "state": "relaxed", "dos_ef_per_ev_atom": 0.000, "total_magnetization_mub_per_atom": 0.00, "sg": "I4_1/acd (142)", "e_tot_ev_per_cell": -286.7, "lattice": [[-5.741, -0.762, -0.686], [0.094, -4.278, 3.963], [-0.011, 13.322, 10.091]], "species": ["O", "O", "O", "O", "O", "O", "O", "O", "Mo", "La", "La", "La", "O", "Mo", "O", "O", "O", "La", "O", "La", "O", "La", "Mo", "La", "La", "O", "O", "Mo", "O", "O", "O", "O", "O", "O", "O", "O"], "fractional_positions": [[0.206, 0.868, 0.071], [0.118, 0.616, 0.571], [0.044, 0.882, 0.429], [0.706, 0.704, 0.071], [0.454, 0.956, 0.571], [0.619, 0.625, 0.750], [0.954, 0.116, 0.571], [0.119, 0.625, 0.750], [0.000, 0.000, 0.000], [0.837, 0.837, 0.674], [0.913, 0.413, 0.826], [0.587, 0.087, 0.174], [0.866, 0.204, 0.071], [0.750, 0.250, 0.500], [0.631, 0.125, 0.750], [0.375, 0.869, 0.250], [0.875, 0.381, 0.250], [0.413, 0.913, 0.826], [0.544, 0.046, 0.429], [0.663, 0.663, 0.326], [0.132, 0.134, 0.929], [0.163, 0.163, 0.326], [0.250, 0.750, 0.500], [0.337, 0.337, 0.674], [0.087, 0.587, 0.174], [0.366, 0.368, 0.071], [0.884, 0.382, 0.429], [0.500, 0.500, 0.000], [0.296, 0.634, 0.929], [0.375, 0.369, 0.250], [0.632, 0.294, 0.929], [0.796, 0.794, 0.929], [0.384, 0.546, 0.429], [0.618, 0.456, 0.571], [0.131, 0.125, 0.750], [0.875, 0.881, 0.250]]}